No. 1
VGa | PBEsol | relaxed

formation energy from the elements	-0.161	eV per atom
total magnetic moment	0.000	μB/f.u.

Cell: 2.7337 2.7337 4.2933 Å, 90.00 90.00 120.00°
Space group P-6m2 (No. 187)
Asymmetric unit:
V: 0.0000 0.0000 0.0000 x1
Ga: 0.6667 0.3333 0.5000 x1


No. 2
V6Ga5 | PBEsol | relaxed

formation energy from the elements	-0.248	eV per atom
total magnetic moment	0.001	μB/f.u.

Cell: 8.3572 8.3572 5.0523 Å, 90.00 90.00 120.00°
Space group P6_3/mmc (No. 194)
Asymmetric unit:
V: 0.0000 0.5000 0.0000 x6
V: 0.1562 0.3123 0.2500 x6
Ga: 0.0000 0.0000 0.0000 x2
Ga: 0.2035 0.4071 0.7500 x6
Ga: 0.3333 0.6667 0.2500 x2


No. 3
V2Ga5 | PBEsol | relaxed

formation energy from the elements	-0.282	eV per atom
total magnetic moment	0.001	μB/f.u.

Cell: 8.840 8.840 2.643 Å, 90.00 90.00 90.00°
Space group P4/mbm (No. 127)
Asymmetric unit:
V: 0.180 0.320 0.000 x4
Ga: 0.000 0.500 0.500 x2
Ga: 0.061 0.794 0.500 x8


No. 4
V8Ga41 | PBEsol | relaxed

formation energy from the elements	-0.215	eV per atom
total magnetic moment	0.000	μB/f.u.

Cell: 13.7588 13.7588 14.6928 Å, 90.00 90.00 120.00°
Space group R-3 (No. 148, hexagonal axes)
Asymmetric unit:
V: 0.0000 0.0000 0.1867 x6
V: 0.0143 0.7047 0.5987 x18
Ga: 0.0000 0.0000 0.0000 x3
Ga: 0.0000 0.0000 0.5000 x3
Ga: 0.0000 0.5000 0.0000 x9
Ga: 0.0009 0.1832 0.7846 x18
Ga: 0.0078 0.8844 0.6647 x18
Ga: 0.0095 0.6897 0.7673 x18
Ga: 0.0131 0.1696 0.1137 x18
Ga: 0.0144 0.5305 0.6605 x18
Ga: 0.0910 0.5355 0.1701 x18